# 1
Here is a geometry-optimized DyTm2In3PtAu2 structure from the Open Quantum Materials Database. Energies are from PBE.

CIF file:
```
data_DyTm2In3PtAu2
_cell_length_a 3.930
_cell_length_b 13.332
_cell_length_c 7.679
_cell_angle_alpha 90.00
_cell_angle_beta 90.00
_cell_angle_gamma 90.00
_symmetry_space_group_name_H-M 'A m m 2'
_symmetry_Int_Tables_number 38
loop_
_symmetry_equiv_pos_as_xyz
'x,y,z'
'-x,-y,z'
'-x,y,z'
'x,-y,z'
'x,y+1/2,z+1/2'
'-x,-y+1/2,z+1/2'
'-x,y+1/2,z+1/2'
'x,-y+1/2,z+1/2'
loop_
_atom_site_label
_atom_site_type_symbol
_atom_site_fract_x
_atom_site_fract_y
_atom_site_fract_z
_atom_site_occupancy
Dy1 Dy 0.000 0.000 0.000 1
Tm1 Tm 0.000 0.200 0.398 1
In1 In 0.500 0.000 0.341 1
In2 In 0.500 0.129 0.727 1
Pt1 Pt 0.000 0.000 0.597 1
Au1 Au 0.500 0.168 0.099 1
```

Summary:
calculated volume = 402 Å³/cell
magnetization = 0.004 μB/f.u.
raw total energy = -0.1707 hartree per atom

***

# 2
Here is a geometry-optimized Dy2TmIn3PtAu2 structure from the Open Quantum Materials Database. Energies are from PBE.

CIF file:
```
data_Dy2TmIn3PtAu2
_cell_length_a 3.944
_cell_length_b 13.325
_cell_length_c 7.713
_cell_angle_alpha 90.00
_cell_angle_beta 90.00
_cell_angle_gamma 90.00
_symmetry_space_group_name_H-M 'A m m 2'
_symmetry_Int_Tables_number 38
loop_
_symmetry_equiv_pos_as_xyz
'x,y,z'
'-x,-y,z'
'-x,y,z'
'x,-y,z'
'x,y+1/2,z+1/2'
'-x,-y+1/2,z+1/2'
'-x,y+1/2,z+1/2'
'x,-y+1/2,z+1/2'
loop_
_atom_site_label
_atom_site_type_symbol
_atom_site_fract_x
_atom_site_fract_y
_atom_site_fract_z
_atom_site_occupancy
Dy1 Dy 0.000 0.201 0.000 1
Tm1 Tm 0.000 0.000 0.399 1
In1 In 0.500 0.000 0.056 1
In2 In 0.500 0.128 0.670 1
Pt1 Pt 0.000 0.000 0.797 1
Au1 Au 0.500 0.165 0.300 1
```

Summary:
calculated volume = 405 Å³/cell
magnetization = 0.006 μB/f.u.
raw total energy = -0.1714 hartree per atom